# LaCrSe2 PBE optimized geometry
# VASP energy: -24.7 eV per formula unit
# ΔE to the lowest computed polymorph: 318 meV per atom
# V: 92.80 Å³/cell
# ΔE_f (raw): -75.8 kJ per mole of atoms
data_LaCrSe2
_space_group_name_H-M_alt 'P 4/m m m'
_space_group_IT_number 123
_space_group_name_Hall '-P 4 2'
_cell_length_a 3.615
_cell_length_b 3.615
_cell_length_c 7.101
_cell_angle_alpha 90.00
_cell_angle_beta 90.00
_cell_angle_gamma 90.00
loop_
_atom_site_label
_atom_site_type_symbol
_atom_site_fract_x
_atom_site_fract_y
_atom_site_fract_z
La1 La 0.000 0.000 0.000
Cr1 Cr 0.000 0.000 0.500
Se1 Se 0.500 0.500 0.258



# CuRe2H PBE optimized geometry
# VASP energy: -28.3 eV per formula unit
# ΔE to the lowest computed polymorph: 465 meV per atom
# V: 189.37 Å³/cell
data_CuRe2H
_space_group_name_H-M_alt 'F m -3 m'
_space_group_IT_number 225
_space_group_name_Hall '-F 4 2 3'
_cell_length_a 5.742
_cell_length_b 5.742
_cell_length_c 5.742
_cell_angle_alpha 90.00
_cell_angle_beta 90.00
_cell_angle_gamma 90.00
loop_
_atom_site_label
_atom_site_type_symbol
_atom_site_fract_x
_atom_site_fract_y
_atom_site_fract_z
Cu1 Cu 0.000 0.000 0.000
Re1 Re 0.250 0.250 0.250
H1 H 0.000 0.000 0.500



# Ba2NbAgO6 PBE optimized geometry
# VASP energy: -67.2 eV per formula unit
# V: 298.50 Å³/cell
# ΔE_f (raw): -199.9 kJ per mole of atoms
data_Ba2NbAgO6
_space_group_name_H-M_alt 'I 4/m m m'
_space_group_IT_number 139
_space_group_name_Hall '-I 4 2'
_cell_length_a 5.970
_cell_length_b 5.970
_cell_length_c 8.375
_cell_angle_alpha 90.00
_cell_angle_beta 90.00
_cell_angle_gamma 90.00
loop_
_atom_site_label
_atom_site_type_symbol
_atom_site_fract_x
_atom_site_fract_y
_atom_site_fract_z
Ba1 Ba 0.000 0.500 0.250
Nb1 Nb 0.000 0.000 0.000
Ag1 Ag 0.000 0.000 0.500
O1 O 0.000 0.000 0.240
O2 O 0.238 0.238 0.000



# Cs3LaNp2Te6 PBE optimized geometry
# VASP energy: -65.2 eV per formula unit
# V: 1015.15 Å³/cell
# ΔE_f (raw): -104.4 kJ per mole of atoms
data_Cs3LaNp2Te6
_space_group_name_H-M_alt 'C 1 2/m 1'
_space_group_IT_number 12
_cell_length_a 8.111
_cell_length_b 14.048
_cell_length_c 9.311
_cell_angle_alpha 90.00
_cell_angle_beta 106.88
_cell_angle_gamma 90.00
loop_
_space_group_symop_operation_xyz
'x,y,z'
'-x,-y,-z'
'-x,y,-z'
'x,-y,z'
'x+1/2,y+1/2,z'
'-x+1/2,-y+1/2,-z'
'-x+1/2,y+1/2,-z'
'x+1/2,-y+1/2,z'
loop_
_atom_site_label
_atom_site_type_symbol
_atom_site_fract_x
_atom_site_fract_y
_atom_site_fract_z
Cs1 Cs 0.000 0.000 0.000
Cs2 Cs 0.000 0.335 0.000
La1 La 0.000 0.500 0.500
Np1 Np 0.000 0.167 0.500
Te1 Te 0.223 0.000 0.691
Te2 Te 0.235 0.329 0.692



# TcBi3C PBE optimized geometry
# VASP energy: -22.5 eV per formula unit
# ΔE to the lowest computed polymorph: 318 meV per atom
# Energy of formation from the pure elements: 1.74 eV/atom
# V: 146.27 Å³/cell
data_TcBi3C
_space_group_name_H-M_alt 'P m -3 m'
_space_group_IT_number 221
_space_group_name_Hall '-P 4 2 3'
_cell_length_a 5.269
_cell_length_b 5.269
_cell_length_c 5.269
_cell_angle_alpha 90.00
_cell_angle_beta 90.00
_cell_angle_gamma 90.00
loop_
_atom_site_label
_atom_site_type_symbol
_atom_site_fract_x
_atom_site_fract_y
_atom_site_fract_z
Tc1 Tc 0.000 0.000 0.000
Bi1 Bi 0.000 0.000 0.500
C1 C 0.500 0.500 0.500



# K2TiCl6 PBE optimized geometry
# VASP energy: -37.2 eV per formula unit
# V: 532.71 Å³/cell
# ΔE_f (raw): -172.2 kJ per mole of atoms
data_K2TiCl6
_space_group_name_H-M_alt 'P 1 21/c 1'
_space_group_IT_number 14
_cell_length_a 7.124
_cell_length_b 7.598
_cell_length_c 11.995
_cell_angle_alpha 90.00
_cell_angle_beta 124.87
_cell_angle_gamma 90.00
loop_
_space_group_symop_operation_xyz
'x,y,z'
'-x,-y,-z'
'-x,y+1/2,-z+1/2'
'x,-y+1/2,z+1/2'
loop_
_atom_site_label
_atom_site_type_symbol
_atom_site_fract_x
_atom_site_fract_y
_atom_site_fract_z
K1 K 0.229 0.072 0.251
Ti1 Ti 0.500 0.000 0.000
Cl1 Cl 0.193 0.172 0.965
Cl2 Cl 0.291 0.738 0.966
Cl3 Cl 0.339 0.012 0.766



# BeCo2Se2 PBE optimized geometry
# VASP energy: -23.7 eV per formula unit
# ΔE to the lowest computed polymorph: 0 meV per atom
# V: 135.68 Å³/cell
# ΔE_f (raw): 23.9 kJ per mole of atoms
data_BeCo2Se2
_space_group_name_H-M_alt 'P 4/m b m'
_space_group_IT_number 127
_space_group_name_Hall '-P 4 2ab'
_cell_length_a 6.281
_cell_length_b 6.281
_cell_length_c 3.439
_cell_angle_alpha 90.00
_cell_angle_beta 90.00
_cell_angle_gamma 90.00
loop_
_atom_site_label
_atom_site_type_symbol
_atom_site_fract_x
_atom_site_fract_y
_atom_site_fract_z
Be1 Be 0.000 0.000 0.000
Co1 Co 0.145 0.355 0.000
Se1 Se 0.168 0.668 0.500



# HfCd2Bi PBE optimized geometry
# VASP energy: -14.6 eV per formula unit
# Energy of formation from the pure elements: 0.25 eV/atom
# V: 411.23 Å³/cell
data_HfCd2Bi
_space_group_name_H-M_alt 'I -4 2 d'
_space_group_IT_number 122
_space_group_name_Hall 'I -4 2bw'
_cell_length_a 8.376
_cell_length_b 8.376
_cell_length_c 5.861
_cell_angle_alpha 90.00
_cell_angle_beta 90.00
_cell_angle_gamma 90.00
loop_
_atom_site_label
_atom_site_type_symbol
_atom_site_fract_x
_atom_site_fract_y
_atom_site_fract_z
Hf1 Hf 0.000 0.000 0.000
Cd1 Cd 0.245 0.250 0.125
Bi1 Bi 0.000 0.000 0.500



# CeAl2Cu3 PBE optimized geometry
# VASP energy: -27.5 eV per formula unit
# Energy of formation from the pure elements: -0.29 eV/atom
# V: 408.43 Å³/cell
data_CeAl2Cu3
_space_group_name_H-M_alt 'C m c m'
_space_group_IT_number 63
_space_group_name_Hall '-C 2c 2'
_cell_length_a 9.642
_cell_length_b 8.066
_cell_length_c 5.251
_cell_angle_alpha 90.00
_cell_angle_beta 90.00
_cell_angle_gamma 90.00
loop_
_atom_site_label
_atom_site_type_symbol
_atom_site_fract_x
_atom_site_fract_y
_atom_site_fract_z
Ce1 Ce 0.000 0.188 0.250
Al1 Al 0.213 0.500 0.000
Cu1 Cu 0.000 0.439 0.750
Cu2 Cu 0.174 0.219 0.750



# K3Th3TiTe8 PBE optimized geometry
# VASP energy: -75.0 eV per formula unit
# V: 1731.72 Å³/cell
# ΔE_f (raw): -105.5 kJ per mole of atoms
data_K3Th3TiTe8
_space_group_name_H-M_alt 'R -3 m'
_space_group_IT_number 166
_space_group_name_Hall '-R 3 2"'
_cell_length_a 8.7967
_cell_length_b 8.7967
_cell_length_c 25.8420
_cell_angle_alpha 90.00
_cell_angle_beta 90.00
_cell_angle_gamma 120.00
loop_
_atom_site_label
_atom_site_type_symbol
_atom_site_fract_x
_atom_site_fract_y
_atom_site_fract_z
K1 K 0.0000 0.5000 0.0000
Th1 Th 0.0000 0.5000 0.5000
Ti1 Ti 0.0000 0.0000 0.5000
Te1 Te 0.0000 0.0000 0.2409
Te2 Te 0.0183 0.5092 0.2344



# ScVGe PBE optimized geometry
# VASP energy: -20.9 eV per formula unit
# Energy of formation from the pure elements: -0.28 eV/atom
# V: 100.88 Å³/cell
data_ScVGe
_space_group_name_H-M_alt 'I 4 m m'
_space_group_IT_number 107
_space_group_name_Hall 'I 4 -2'
_cell_length_a 3.324
_cell_length_b 3.324
_cell_length_c 9.130
_cell_angle_alpha 90.00
_cell_angle_beta 90.00
_cell_angle_gamma 90.00
loop_
_atom_site_label
_atom_site_type_symbol
_atom_site_fract_x
_atom_site_fract_y
_atom_site_fract_z
Sc1 Sc 0.000 0.000 0.000
V1 V 0.000 0.000 0.685
Ge1 Ge 0.000 0.000 0.313



# LaFe3 PBE optimized geometry
# VASP energy: -28.7 eV per formula unit
# Energy of formation from the pure elements: 0.40 eV/atom
# V: 72.69 Å³/cell
data_LaFe3
_space_group_name_H-M_alt 'P m m 2'
_space_group_IT_number 25
_cell_length_a 3.166
_cell_length_b 3.948
_cell_length_c 5.815
_cell_angle_alpha 90.00
_cell_angle_beta 90.00
_cell_angle_gamma 90.00
loop_
_space_group_symop_operation_xyz
'x,y,z'
'-x,-y,z'
'-x,y,z'
'x,-y,z'
loop_
_atom_site_label
_atom_site_type_symbol
_atom_site_fract_x
_atom_site_fract_y
_atom_site_fract_z
La1 La 0.000 0.000 0.000
Fe1 Fe 0.000 0.500 0.572
Fe2 Fe 0.500 0.000 0.516
Fe3 Fe 0.500 0.500 0.273



# CrTcTe2N PBE optimized geometry
# VASP energy: -30.4 eV per formula unit
# ΔE to the lowest computed polymorph: 243 meV per atom
# V: 105.95 Å³/cell
# ΔE_f (raw): 80.4 kJ per mole of atoms
data_CrTcTe2N
_space_group_name_H-M_alt 'P 4/m m m'
_space_group_IT_number 123
_space_group_name_Hall '-P 4 2'
_cell_length_a 5.365
_cell_length_b 5.365
_cell_length_c 3.682
_cell_angle_alpha 90.00
_cell_angle_beta 90.00
_cell_angle_gamma 90.00
loop_
_atom_site_label
_atom_site_type_symbol
_atom_site_fract_x
_atom_site_fract_y
_atom_site_fract_z
Cr1 Cr 0.000 0.000 0.000
Tc1 Tc 0.500 0.500 0.500
Te1 Te 0.000 0.500 0.500
N1 N 0.500 0.500 0.000



# Sr3AlTe2F6 PBE optimized geometry
# VASP energy: -60.4 eV per formula unit
# V: 551.28 Å³/cell
# ΔE_f (raw): -274.5 kJ per mole of atoms
data_Sr3AlTe2F6
_space_group_name_H-M_alt 'C 1 2/m 1'
_space_group_IT_number 12
_cell_length_a 14.580
_cell_length_b 6.782
_cell_length_c 5.575
_cell_angle_alpha 90.00
_cell_angle_beta 90.01
_cell_angle_gamma 90.00
loop_
_space_group_symop_operation_xyz
'x,y,z'
'-x,-y,-z'
'-x,y,-z'
'x,-y,z'
'x+1/2,y+1/2,z'
'-x+1/2,-y+1/2,-z'
'-x+1/2,y+1/2,-z'
'x+1/2,-y+1/2,z'
loop_
_atom_site_label
_atom_site_type_symbol
_atom_site_fract_x
_atom_site_fract_y
_atom_site_fract_z
Sr1 Sr 0.000 0.000 0.000
Sr2 Sr 0.250 0.250 0.500
Al1 Al 0.000 0.500 0.500
Te1 Te 0.227 0.000 0.000
F1 F 0.000 0.299 0.277
F2 F 0.131 0.500 0.499



# TlAgSn2 PBE optimized geometry
# VASP energy: -12.7 eV per formula unit
# ΔE to the lowest computed polymorph: 96 meV per atom
# Energy of formation from the pure elements: 0.12 eV/atom
# V: 102.99 Å³/cell
data_TlAgSn2
_space_group_name_H-M_alt 'P 4/m m m'
_space_group_IT_number 123
_space_group_name_Hall '-P 4 2'
_cell_length_a 4.584
_cell_length_b 4.584
_cell_length_c 4.901
_cell_angle_alpha 90.00
_cell_angle_beta 90.00
_cell_angle_gamma 90.00
loop_
_atom_site_label
_atom_site_type_symbol
_atom_site_fract_x
_atom_site_fract_y
_atom_site_fract_z
Tl1 Tl 0.000 0.000 0.000
Ag1 Ag 0.500 0.500 0.000
Sn1 Sn 0.000 0.500 0.500